The following is a GGA-PBEsol calculation of crystalline ZnInRe2Au at its relaxed geometry, from Alexandria via LeMat-Bulk.

Cell and atoms, written as POSCAR:
```
ZnInRe2Au
1.0
4.921 0.000 0.000
0.000 4.921 0.000
0.000 0.000 4.867
Zn In Re Au
1 1 2 1
Cartesian
0.000 0.000 0.000
2.461 2.461 2.434
0.000 2.461 2.434
2.461 0.000 2.434
2.461 2.461 0.000
```

## Properties
For the calculated volume, the calculation gives 117.9 Å³/cell. The total magnetization is 4.08 μB/cell. The calculation puts the formation energy at 12.90 eV per formula unit.